No. 1
The following is a DFT calculation (PBE-GGA) of a geometry-optimized CaPr7Sm2 structure.

abc: 5.812 9.354 9.354
angles: 121.62 90.00 90.00
Sites, in units of the cell vectors:
Ca: 0.000 0.000 0.000
Pr: 0.000 0.760 0.240
Pr: 0.000 0.240 0.760
Pr: 0.500 0.064 0.300
Pr: 0.500 0.936 0.700
Pr: 0.500 0.300 0.064
Pr: 0.500 0.700 0.936
Pr: 0.500 0.500 0.500
Sm: 0.500 0.703 0.297
Sm: 0.500 0.297 0.703

Computed properties:
ΔE_f: 572 meV per atom
D(E_F): 14.02 states/eV per cell
Space group: No. 65

No. 2
The following is a DFT calculation (PBE-GGA) of a geometry-optimized CaPr7Sm12 structure.

abc: 10.063 10.063 10.063
angles: 109.47 109.47 109.47
Sites, in units of the cell vectors:
Ca: 0.000 0.000 0.000
Pr: 0.500 0.500 0.000
Pr: 0.000 0.500 0.500
Pr: 0.500 0.000 0.500
Pr: 0.500 0.500 0.500
Pr: 0.000 0.000 0.500
Pr: 0.500 0.000 0.000
Pr: 0.000 0.500 0.000
Sm: 0.492 0.746 0.746
Sm: 0.001 0.746 0.254
Sm: 0.508 0.254 0.254
Sm: 0.999 0.254 0.746
Sm: 0.746 0.999 0.254
Sm: 0.746 0.492 0.746
Sm: 0.254 0.001 0.746
Sm: 0.254 0.508 0.254
Sm: 0.746 0.746 0.492
Sm: 0.254 0.254 0.508
Sm: 0.746 0.254 0.001
Sm: 0.254 0.746 0.999

Computed properties:
ΔE_f: 562 meV per atom
D(E_F): 26.40 states/eV per cell
Space group: No. 204

No. 3
The following is a DFT calculation (PBE-GGA) of a geometry-optimized Ca2Pr15Sm2 structure.

abc: 9.075 9.075 9.075
angles: 81.03 81.03 81.03
Sites, in units of the cell vectors:
Ca: 0.669 0.669 0.669
Ca: 0.331 0.331 0.331
Pr: 0.000 0.500 0.000
Pr: 0.000 0.000 0.500
Pr: 0.500 0.000 0.000
Pr: 0.296 0.000 0.704
Pr: 0.704 0.296 0.000
Pr: 0.000 0.704 0.296
Pr: 0.296 0.704 0.000
Pr: 0.000 0.296 0.704
Pr: 0.704 0.000 0.296
Pr: 0.364 0.853 0.364
Pr: 0.364 0.364 0.853
Pr: 0.853 0.364 0.364
Pr: 0.636 0.147 0.636
Pr: 0.636 0.636 0.147
Pr: 0.147 0.636 0.636
Sm: 0.907 0.907 0.907
Sm: 0.093 0.093 0.093

Computed properties:
ΔE_f: 223 meV per atom
D(E_F): 29.29 states/eV per cell
Space group: No. 166

No. 4
The following is a DFT calculation (PBE-GGA) of a geometry-optimized CaPr3Sm structure.

abc: 6.849 10.576 10.576
angles: 81.33 78.98 78.98
Sites, in units of the cell vectors:
Ca: 0.548 0.531 0.675
Ca: 0.952 0.325 0.469
Ca: 0.452 0.469 0.325
Ca: 0.048 0.675 0.531
Pr: 0.140 0.735 0.879
Pr: 0.360 0.121 0.265
Pr: 0.860 0.265 0.121
Pr: 0.640 0.879 0.735
Pr: 0.349 0.389 0.013
Pr: 0.151 0.987 0.611
Pr: 0.651 0.611 0.987
Pr: 0.849 0.013 0.389
Pr: 0.053 0.398 0.793
Pr: 0.447 0.207 0.602
Pr: 0.947 0.602 0.207
Pr: 0.553 0.793 0.398
Sm: 0.750 0.929 0.071
Sm: 0.250 0.071 0.929
Sm: 0.750 0.180 0.820
Sm: 0.250 0.820 0.180

Computed properties:
ΔE_f: 67 meV per atom
D(E_F): 29.47 states/eV per cell
Space group: No. 15

No. 5
The following is a DFT calculation (PBE-GGA) of a geometry-optimized Ca2PrSm4 structure.

abc: 5.719 5.719 9.820
angles: 106.93 106.93 90.00
Last column: magnetic moment on the atom in μB.
Sites, in units of the cell vectors:
Ca: 0.628 0.628 0.255  0.01
Ca: 0.372 0.372 0.745  0.01
Pr: 0.000 0.000 0.000  0.16
Sm: 0.827 0.827 0.655  0.03
Sm: 0.173 0.173 0.345  0.03
Sm: 0.000 0.500 0.000  0.10
Sm: 0.500 0.000 0.000  0.10

Computed properties:
ΔE_f: 597 meV per atom
D(E_F): 13.16 states/eV per cell
Space group: No. 139

No. 6
The following is a DFT calculation (PBE-GGA) of a geometry-optimized CaPr2Sm8 structure.

abc: 5.684 8.588 9.501
angles: 116.87 107.41 90.00
Sites, in units of the cell vectors:
Ca: 0.500 0.000 0.000
Pr: 0.204 0.704 0.407
Pr: 0.796 0.296 0.593
Sm: 0.641 0.843 0.283
Sm: 0.359 0.560 0.717
Sm: 0.157 0.157 0.314
Sm: 0.000 0.307 0.000
Sm: 0.843 0.843 0.686
Sm: 0.641 0.440 0.283
Sm: 0.359 0.157 0.717
Sm: 0.000 0.693 0.000

Computed properties:
ΔE_f: 154 meV per atom
D(E_F): 18.62 states/eV per cell
Space group: No. 71

No. 7
The following is a DFT calculation (PBE-GGA) of a geometry-optimized CaPr5Sm structure.

abc: 5.559 5.559 8.750
angles: 90.00 90.00 90.00
Sites, in units of the cell vectors:
Ca: 0.000 0.000 0.000
Pr: 0.500 0.500 0.000
Pr: 0.500 0.000 0.284
Pr: 0.000 0.500 0.284
Pr: 0.500 0.000 0.716
Pr: 0.000 0.500 0.716
Sm: 0.000 0.000 0.500

Computed properties:
ΔE_f: 298 meV per atom
D(E_F): 9.58 states/eV per cell
Space group: No. 123

No. 8
The following is a DFT calculation (PBE-GGA) of a geometry-optimized CaPr4Sm7 structure.

abc: 7.389 6.411 11.793
angles: 79.54 51.05 89.97
Sites, in units of the cell vectors:
Ca: 0.000 0.000 0.000
Pr: 0.413 0.718 0.334
Pr: 0.587 0.282 0.666
Pr: 0.828 0.779 0.672
Pr: 0.172 0.221 0.328
Sm: 0.747 0.499 0.999
Sm: 0.253 0.501 0.001
Sm: 0.080 0.282 0.667
Sm: 0.920 0.718 0.333
Sm: 0.340 0.774 0.660
Sm: 0.500 0.000 0.000
Sm: 0.660 0.226 0.340

Computed properties:
ΔE_f: 33 meV per atom
D(E_F): 16.02 states/eV per cell
Space group: No. 2

No. 9
The following is a DFT calculation (PBE-GGA) of a geometry-optimized CaPr12Sm5 structure.

abc: 11.096 11.099 6.409
angles: 106.67 90.00 60.01
Sites, in units of the cell vectors:
Ca: 0.000 0.000 0.000
Pr: 0.829 0.000 0.500
Pr: 0.171 0.000 0.500
Pr: 0.661 0.000 0.000
Pr: 0.339 0.000 0.000
Pr: 0.338 0.662 0.999
Pr: 0.001 0.662 0.000
Pr: 0.999 0.338 0.000
Pr: 0.662 0.338 0.001
Pr: 0.500 0.333 0.498
Pr: 0.833 0.667 0.502
Pr: 0.167 0.333 0.498
Pr: 0.500 0.667 0.502
Sm: 0.500 0.000 0.500
Sm: 0.169 0.662 0.490
Sm: 0.831 0.338 0.510
Sm: 0.667 0.667 0.003
Sm: 0.333 0.333 0.997

Computed properties:
ΔE_f: 21 meV per atom
D(E_F): 25.30 states/eV per cell
Space group: No. 12

No. 10
The following is a DFT calculation (PBE-GGA) of a geometry-optimized CaPr14Sm structure.

abc: 7.491 7.491 12.053
angles: 90.00 90.00 119.91
Sites, in units of the cell vectors:
Ca: 0.666 0.334 0.000
Pr: 0.667 0.333 0.500
Pr: 0.167 0.833 0.500
Pr: 0.167 0.337 0.000
Pr: 0.167 0.334 0.500
Pr: 0.663 0.833 0.000
Pr: 0.666 0.833 0.500
Pr: 0.328 0.164 0.750
Pr: 0.328 0.164 0.250
Pr: 0.836 0.672 0.750
Pr: 0.836 0.672 0.250
Pr: 0.836 0.164 0.749
Pr: 0.836 0.164 0.251
Pr: 0.333 0.667 0.752
Pr: 0.333 0.667 0.248
Sm: 0.168 0.832 0.000

Computed properties:
ΔE_f: 39 meV per atom
D(E_F): 26.92 states/eV per cell
Space group: No. 38

No. 11
The following is a DFT calculation (PBE-GGA) of a geometry-optimized CaPr4Sm15 structure.

abc: 5.175 5.175 25.836
angles: 90.00 90.00 90.00
Sites, in units of the cell vectors:
Ca: 0.000 0.000 0.000
Pr: 0.000 0.000 0.200
Pr: 0.000 0.000 0.400
Pr: 0.000 0.000 0.600
Pr: 0.000 0.000 0.800
Sm: 0.500 0.500 0.000
Sm: 0.500 0.500 0.200
Sm: 0.500 0.500 0.400
Sm: 0.500 0.500 0.600
Sm: 0.500 0.500 0.800
Sm: 0.500 0.000 0.103
Sm: 0.500 0.000 0.301
Sm: 0.500 0.000 0.500
Sm: 0.500 0.000 0.699
Sm: 0.500 0.000 0.897
Sm: 0.000 0.500 0.103
Sm: 0.000 0.500 0.301
Sm: 0.000 0.500 0.500
Sm: 0.000 0.500 0.699
Sm: 0.000 0.500 0.897

Computed properties:
ΔE_f: 30 meV per atom
D(E_F): 29.44 states/eV per cell
Space group: No. 123

No. 12
The following is a DFT calculation (PBE-GGA) of a geometry-optimized CaPr9Sm2 structure.

abc: 5.247 5.247 15.738
angles: 90.00 90.00 90.00
Sites, in units of the cell vectors:
Ca: 0.000 0.000 0.000
Pr: 0.500 0.500 0.000
Pr: 0.500 0.500 0.334
Pr: 0.500 0.500 0.666
Pr: 0.500 0.000 0.172
Pr: 0.500 0.000 0.500
Pr: 0.500 0.000 0.828
Pr: 0.000 0.500 0.172
Pr: 0.000 0.500 0.500
Pr: 0.000 0.500 0.828
Sm: 0.000 0.000 0.333
Sm: 0.000 0.000 0.667

Computed properties:
ΔE_f: 28 meV per atom
D(E_F): 20.49 states/eV per cell
Space group: No. 123